CoTe2O: optimized geometry, PBE+U.

Output
symmetry = No. 122
total DFT energy (no corrections) = -3.8418 eV per atom
calculated volume = 20.768 Å³/atom

```
CoTe2O
1.0
5.349 0.000 0.000
0.000 5.349 0.000
2.674 2.674 5.807
Te Co O
4 2 2
Direct
0.632 0.125 0.250
0.118 0.625 0.250
0.375 0.368 0.750
0.875 0.882 0.750
0.000 0.000 0.000
0.750 0.250 0.500
0.500 0.500 0.000
0.250 0.750 0.500
```